1.
This record from Alexandria describes crystalline CeTh6N8 at its relaxed geometry. The functional is PBE.

DOS(E_F), states/eV/f.u.: 4.9
E_form (uncorrected), eV/atom: -1.420
Polymorph energy (0 for the lowest one), meV/atom: 0

Cell lengths 7.2633, 7.2633, 7.2633 Å; angles 60.00, 60.00, 60.00 degrees
Last column: nearest neighbours and their distance in Å.
Sites, in units of the cell vectors:
N: 0.2318 0.7682 0.2318  1 Ce 2.38, 4 Th 2.57
N: 0.2500 0.2500 0.2500  6 Th 2.57
N: 0.2318 0.7682 0.7682  1 Ce 2.38, 4 Th 2.57
Th: 0.0000 0.0000 0.5000  6 N 2.57
N: 0.7682 0.2318 0.7682  1 Ce 2.38, 4 Th 2.57
N: 0.7500 0.7500 0.7500  6 Th 2.57
N: 0.7682 0.7682 0.2318  1 Ce 2.38, 4 Th 2.57
N: 0.7682 0.2318 0.2318  1 Ce 2.38, 4 Th 2.57
Th: 0.5000 0.5000 0.0000  6 N 2.57
Ce: 0.0000 0.0000 0.0000  6 N 2.38
Th: 0.0000 0.5000 0.0000  6 N 2.57
Th: 0.5000 0.0000 0.0000  6 N 2.57
Th: 0.0000 0.5000 0.5000  6 N 2.57
N: 0.2318 0.2318 0.7682  1 Ce 2.38, 4 Th 2.57
Th: 0.5000 0.0000 0.5000  6 N 2.57



2.
This record from Alexandria describes crystalline Rb2CrSiS4 at its relaxed geometry. The functional is PBE.

E_form (uncorrected), eV/atom: -0.889

Cell lengths 7.2110, 7.2109, 6.5169 Å; angles 123.59, 123.59, 90.00 degrees
Last column: nearest neighbours and their distance in Å.
Sites, in units of the cell vectors:
Rb: 0.2359 0.2359 0.4718  8 S 3.46-3.54
Cr: 0.9859 0.4859 0.9718  4 S 2.40
S: 0.8171 0.4677 0.1934  1 Si 2.16, 1 Cr 2.40
Si: 0.7359 0.7359 0.4718  4 S 2.16
S: 0.7461 0.6547 0.7502  1 Si 2.16, 1 Cr 2.40
Rb: 0.4859 0.9859 0.9717  4 S 3.24
S: 0.3762 0.7256 0.1933  1 Si 2.16, 1 Cr 2.40
S: 0.0041 0.0955 0.7502  1 Si 2.16, 1 Cr 2.40



3.
This record from Alexandria describes crystalline Li3AlCu4 at its relaxed geometry. The functional is PBE.

DOS(E_F), states/eV/f.u.: 3.0
Polymorph energy (0 for the lowest one), meV/atom: 109

Cell lengths 5.5350, 5.5350, 5.5350 Å; angles 78.29, 128.28, 125.69 degrees
Last column: nearest neighbours and their distance in Å.
Sites, in units of the cell vectors:
Cu: 0.5640 0.2507 0.3133  4 Cu 2.52-2.66, 6 Li 2.64-2.81, 2 Al 2.68-2.76
Cu: 0.0989 0.7563 0.8553  5 Li 2.40-2.53, 1 Al 2.41, 2 Cu 2.66
Cu: 0.0989 0.2437 0.3426  5 Li 2.40-2.53, 1 Al 2.41, 2 Cu 2.66
Li: 0.5950 0.2457 0.8407  4 Cu 2.40-2.53, 1 Li 2.40, 1 Al 2.60
Cu: 0.0625 0.7493 0.3133  4 Cu 2.52-2.66, 6 Li 2.64-2.81, 2 Al 2.68-2.76
Li: 0.8329 0.0000 0.8329  2 Li 2.40, 4 Cu 2.45-2.64, 2 Al 2.53
Al: 0.3037 0.5000 0.8037  4 Cu 2.41-2.68, 4 Li 2.53-2.60
Li: 0.5950 0.7543 0.3493  4 Cu 2.40-2.53, 1 Li 2.40, 1 Al 2.60



4.
This record from Alexandria describes crystalline PrFeGe3Os at its relaxed geometry. The functional is PBE.

DOS(E_F), states/eV/f.u.: 3.0
Electronic total energy, eV/cell: -78.3

Cell lengths 5.7473, 7.5617, 6.7003 Å; angles 124.35, 90.00, 90.00 degrees
Last column: nearest neighbours and their distance in Å.
Sites, in units of the cell vectors:
Pr: 0.7500 0.2506 0.5013  2 Ge 2.88
Pr: 0.2500 0.7494 0.4987  2 Ge 2.88
Ge: 0.0000 0.2384 0.0000  2 Fe 2.36, 2 Os 2.50
Ge: 0.5000 0.7616 0.0000  2 Fe 2.36, 2 Os 2.50
Os: 0.2500 0.4526 0.9052  5 Ge 2.33-2.50
Ge: 0.0000 0.7616 0.0000  2 Fe 2.36, 2 Os 2.50
Ge: 0.2500 0.2421 0.4842  1 Fe 2.18, 1 Os 2.33
Ge: 0.7500 0.7579 0.5158  1 Fe 2.18, 1 Os 2.33
Os: 0.7500 0.5474 0.0948  5 Ge 2.33-2.50
Fe: 0.2500 0.0453 0.0906  5 Ge 2.18-2.36
Ge: 0.5000 0.2384 0.0000  2 Fe 2.36, 2 Os 2.50
Fe: 0.7500 0.9547 0.9094  5 Ge 2.18-2.36



5.
This record from Alexandria describes crystalline BaLaSc at its relaxed geometry. The functional is PBE.

DOS(E_F), states/eV/f.u.: 5.6
Polymorph energy (0 for the lowest one), meV/atom: 0

Cell lengths 3.8721, 6.5909, 10.1197 Å; angles 72.93, 78.90, 72.87 degrees
Last column: nearest neighbours and their distance in Å.
Sites, in units of the cell vectors:
Ba: 0.1543 0.7935 0.6428  2 Sc 3.70, 5 Ba 3.87-4.07, 3 La 3.96-4.07
Ba: 0.8291 0.2400 0.8521  2 Sc 3.70, 5 Ba 3.87-4.07, 3 La 3.96-4.07
Sc: 0.1814 0.2111 0.1742  2 Sc 3.17, 4 La 3.43-3.52
Sc: 0.8020 0.8222 0.3208  2 Sc 3.17, 4 La 3.43-3.52
La: 0.4882 0.3429 0.4270  5 Sc 3.43-3.69, 1 La 3.68
La: 0.4950 0.6906 0.0680  5 Sc 3.43-3.69, 1 La 3.68



6.
This record from Alexandria describes crystalline PaTcIO6 at its relaxed geometry. The functional is PBE.

DOS(E_F), states/eV/f.u.: 2.4
E_form (uncorrected), eV/atom: -1.773

Cell lengths 8.2153, 7.2792, 7.8601 Å; angles 117.58, 121.51, 90.00 degrees
Last column: nearest neighbours and their distance in Å.
Sites, in units of the cell vectors:
Tc: 0.5000 0.5000 0.0000  6 O 1.88-1.90
I: 0.9318 0.6818 0.8636  1 O 2.96
O: 0.5497 0.3282 0.7758  1 Tc 1.88
O: 0.5499 0.2999 0.0998  2 Tc 1.90
O: 0.7738 0.0524 0.2242  1 Tc 1.88
O: 0.1946 0.9446 0.3891  2 Pa 2.15
O: 0.4503 0.0524 0.2242  1 Tc 1.88
O: 0.4501 0.7001 0.9002  2 Tc 1.90
O: 0.5497 0.9476 0.7758  1 Tc 1.88
O: 0.2262 0.3282 0.7758  1 Tc 1.88
Tc: 0.5000 0.0000 0.0000  6 O 1.88-1.90
O: 0.7738 0.6718 0.2242  1 Tc 1.88
I: 0.0682 0.3182 0.1364  1 O 2.96
Pa: 0.0000 0.0000 0.5000  6 O 2.15-2.20
O: 0.2262 0.9476 0.7758  1 Tc 1.88
Pa: 0.5000 0.0000 0.5000  6 O 2.15-2.20
O: 0.4503 0.6718 0.2242  1 Tc 1.88
O: 0.8054 0.0554 0.6109  2 Pa 2.15



7.
This record from Alexandria describes crystalline Zn2Te at its relaxed geometry. The functional is PBE.

DOS(E_F), states/eV/f.u.: 0.1
E_form (uncorrected), eV/atom: -0.121
Polymorph energy (0 for the lowest one), meV/atom: 0

Cell lengths 4.6497, 9.0336, 6.9172 Å; angles 90.00, 90.00, 90.00 degrees
Last column: nearest neighbours and their distance in Å.
Sites, in units of the cell vectors:
Zn: 0.7500 0.5133 0.2904  3 Zn 2.53-2.77, 1 Te 2.73
Zn: 0.7500 0.0133 0.2096  3 Zn 2.53-2.77, 1 Te 2.73
Te: 0.2500 0.6741 0.3996  5 Zn 2.73-2.89
Zn: 0.7500 0.5069 0.9251  5 Zn 2.53-2.77, 1 Te 2.78
Zn: 0.2500 0.4867 0.7096  3 Zn 2.53-2.77, 1 Te 2.73
Zn: 0.7500 0.0069 0.5749  5 Zn 2.53-2.77, 1 Te 2.78
Zn: 0.2500 0.4931 0.0749  5 Zn 2.53-2.77, 1 Te 2.78
Zn: 0.2500 0.9931 0.4251  5 Zn 2.53-2.77, 1 Te 2.78
Te: 0.2500 0.1741 0.1004  5 Zn 2.73-2.89
Te: 0.7500 0.3259 0.6004  5 Zn 2.73-2.89
Te: 0.7500 0.8259 0.8996  5 Zn 2.73-2.89
Zn: 0.2500 0.9867 0.7904  3 Zn 2.53-2.77, 1 Te 2.73



8.
This record from Alexandria describes crystalline Ca3LaAl8 at its relaxed geometry. The functional is PBE.

DOS(E_F), states/eV/f.u.: 6.8
Polymorph energy (0 for the lowest one), meV/atom: 14

Cell lengths 5.7089, 5.7089, 9.2534 Å; angles 90.00, 90.00, 120.00 degrees
Last column: nearest neighbours and their distance in Å.
Sites, in units of the cell vectors:
Al: 0.3333 0.6667 0.0038  6 Al 2.82-2.88
Al: 0.5040 0.0080 0.7510  6 Al 2.79-2.92
Al: 0.6745 0.8372 0.2484  6 Al 2.79-2.92
La: 0.0000 0.0000 0.5663  12 Al 3.33-3.35, 4 Ca 3.40-3.52
Al: 0.9920 0.4960 0.7510  6 Al 2.79-2.92
Ca: 0.6667 0.3333 0.0656  12 Al 3.32-3.35, 4 Ca 3.39-3.51
Ca: 0.6667 0.3333 0.4314  12 Al 3.32-3.37, 1 Ca 3.39, 3 La 3.52
Al: 0.1628 0.8372 0.2484  6 Al 2.79-2.92
Al: 0.1628 0.3255 0.2484  6 Al 2.79-2.92
Al: 0.5040 0.4960 0.7510  6 Al 2.79-2.92
Ca: 0.0000 0.0000 0.9337  12 Al 3.32-3.36, 1 La 3.40, 3 Ca 3.51
Al: 0.3333 0.6667 0.5009  6 Al 2.86-2.88